1.
# PrSm2Ge2

A geometry-optimized PrSm2Ge2 structure (PBE, the Alexandria database).

Properties
density of states at the Fermi level: 1.1432 states/eV per atom
ΔE_f: -721 meV per atom
E_tot: -5.41 eV per atom
E above lowest polymorph: 0.000 eV/atom

abc: 4.242 7.913 7.913
angles: 90.00 90.00 90.00
Fractional coordinates of all 10 atoms:
1 Pr 0.500 0.500 0.000
2 Pr 0.500 0.000 0.500
3 Sm 0.000 0.673 0.327
4 Sm 0.000 0.827 0.827
5 Sm 0.000 0.173 0.173
6 Sm 0.000 0.327 0.673
7 Ge 0.500 0.379 0.379
8 Ge 0.500 0.879 0.121
9 Ge 0.500 0.121 0.879
10 Ge 0.500 0.621 0.621

=====

2.
# SmBeRh

A geometry-optimized SmBeRh structure (PBE, the Alexandria database).

Properties
density of states at the Fermi level: 0.6204 states/eV per atom
ΔE_f: -563 meV per atom
E_tot: -5.83 eV per atom
E above lowest polymorph: 0.000 eV/atom

abc: 3.964 3.964 8.145
angles: 90.00 90.00 120.01
Fractional coordinates of all 6 atoms:
1 Sm 0.000 0.500 0.500
2 Sm 0.000 0.500 0.000
3 Be 0.333 0.167 0.750
4 Be 0.667 0.833 0.250
5 Rh 0.667 0.833 0.750
6 Rh 0.333 0.167 0.250

=====

3.
# YMg10Zn3

A geometry-optimized YMg10Zn3 structure (PBE, the Alexandria database).

Properties
density of states at the Fermi level: 0.5596 states/eV per atom
ΔE_f: 14 meV per atom
E_tot: -1.86 eV per atom

abc: 9.725 9.725 9.725
angles: 60.00 60.00 60.00
Fractional coordinates of all 28 atoms:
1 Y 0.250 0.250 0.250
2 Y 0.750 0.750 0.750
3 Mg 0.000 0.000 0.345
4 Mg 0.000 0.345 0.000
5 Mg 0.345 0.000 0.000
6 Mg 0.655 0.345 0.000
7 Mg 0.385 0.385 0.385
8 Mg 0.156 0.615 0.615
9 Mg 0.385 0.844 0.385
10 Mg 0.655 0.000 0.345
11 Mg 0.385 0.385 0.844
12 Mg 0.844 0.385 0.385
13 Mg 0.615 0.615 0.156
14 Mg 0.000 0.000 0.655
15 Mg 0.345 0.655 0.000
16 Mg 0.000 0.655 0.345
17 Mg 0.000 0.345 0.655
18 Mg 0.655 0.000 0.000
19 Mg 0.615 0.615 0.615
20 Mg 0.000 0.655 0.000
21 Mg 0.615 0.156 0.615
22 Mg 0.345 0.000 0.655
23 Zn 0.732 0.732 0.268
24 Zn 0.732 0.268 0.732
25 Zn 0.268 0.732 0.732
26 Zn 0.268 0.268 0.732
27 Zn 0.732 0.268 0.268
28 Zn 0.268 0.732 0.268

=====

4.
# BeCd3Tc

A geometry-optimized BeCd3Tc structure (PBE, the Alexandria database).

Properties
density of states at the Fermi level: 1.0600 states/eV per atom
ΔE_f: 1359 meV per atom
E_tot: -2.01 eV per atom
E above lowest polymorph: 0.488 eV/atom

abc: 5.282 5.282 5.282
angles: 90.00 90.00 90.00
Last column: magnetic moment on the atom in μB.
Fractional coordinates of all 5 atoms:
1 Be 0.500 0.500 0.500  0.06
2 Tc 0.000 0.000 0.000  1.81
3 Cd 0.000 0.500 0.000  0.02
4 Cd 0.000 0.000 0.500  0.02
5 Cd 0.500 0.000 0.000  0.01

=====

5.
# K2BaReS4

A geometry-optimized K2BaReS4 structure (PBE, the Alexandria database).

Properties
density of states at the Fermi level: 0.4769 states/eV per atom
E_form (uncorrected): -868 meV/atom
E_tot: -5.00 eV per atom

abc: 6.638 6.638 6.638
angles: 107.95 110.24 110.24
Last column: magnetic moment on the atom in μB.
Fractional coordinates of all 8 atoms:
1 K 0.500 0.750 0.250  0.00
2 K 0.000 0.000 0.000  0.00
3 Ba 0.500 0.250 0.750  0.02
4 Re 0.000 0.500 0.500  0.75
5 S 0.571 0.284 0.284  0.00
6 S 0.000 0.287 0.716  0.00
7 S 0.000 0.716 0.287  0.00
8 S 0.429 0.713 0.713  0.00

=====

6.
# SiGeAu

A geometry-optimized SiGeAu structure (PBE, the Alexandria database).

Properties
density of states at the Fermi level: 0.1972 states/eV per atom
E_form (uncorrected): 132 meV/atom
E_tot: -4.31 eV per atom
E above lowest polymorph: 0.077 eV/atom

abc: 3.930 6.052 10.156
angles: 90.00 107.97 90.00
Fractional coordinates of all 12 atoms:
1 Ge 0.372 0.433 0.300
2 Ge 0.628 0.433 0.700
3 Ge 0.372 0.933 0.800
4 Ge 0.628 0.933 0.200
5 Au 0.000 0.814 0.000
6 Au 0.000 0.314 0.500
7 Au 0.500 0.727 0.500
8 Au 0.500 0.227 0.000
9 Si 0.765 0.543 0.150
10 Si 0.235 0.543 0.850
11 Si 0.765 0.043 0.650
12 Si 0.235 0.043 0.350

=====

7.
# GePPtS2

A geometry-optimized GePPtS2 structure (PBE, the Alexandria database).

Properties
density of states at the Fermi level: 0.6225 states/eV per atom
E_form (uncorrected): 571 meV/atom
E_tot: -4.29 eV per atom
E above lowest polymorph: 0.000 eV/atom

abc: 5.007 5.007 4.362
angles: 90.00 90.00 90.00
Fractional coordinates of all 5 atoms:
1 P 0.000 0.000 0.500
2 Ge 0.500 0.500 0.500
3 S 0.000 0.500 0.000
4 S 0.500 0.000 0.000
5 Pt 0.000 0.000 0.000

=====

8.
# CdTe3O

A geometry-optimized CdTe3O structure (PBE, the Alexandria database).

Properties
density of states at the Fermi level: 0.5981 states/eV per atom
E_form (uncorrected): 129 meV/atom
E_tot: -2.93 eV per atom
E above lowest polymorph: 0.000 eV/atom

abc: 4.889 4.889 4.889
angles: 90.00 90.00 90.00
Fractional coordinates of all 5 atoms:
1 Te 0.000 0.500 0.000
2 Te 0.000 0.000 0.500
3 Te 0.500 0.000 0.000
4 O 0.000 0.000 0.000
5 Cd 0.500 0.500 0.500